Below is a relaxed Nd3SnB2Rh9 crystal, with properties calculated at the GGA-PBE level.

## Properties
**DFT total energy**: -7.07 eV per atom
**Crystal system**: trigonal
**Space-group type**: No. 164
**DFT formation energy**: -12.679 kcal/mol of atoms
**D(E_F)**: 13.09 states/eV/f.u.
**Mass density**: 9.4 Mg/m³

a = 6.077 Å, b = 6.077 Å, c = 8.263 Å
α = 90.00°, β = 90.00°, γ = 120.00°
Element x y z (fractional)
Nd 0.333 0.667 0.661
Nd 0.000 0.000 0.000
Nd 0.667 0.333 0.339
Sn 0.000 0.000 0.500
B 0.333 0.667 0.138
B 0.667 0.333 0.862
Rh 0.824 0.176 0.714
Rh 0.824 0.649 0.714
Rh 0.351 0.176 0.714
Rh 0.649 0.824 0.286
Rh 0.176 0.351 0.286
Rh 0.176 0.824 0.286
Rh 0.500 0.000 0.000
Rh 0.000 0.500 0.000
Rh 0.500 0.500 0.000


Below is a relaxed NpNi2Ir crystal, with properties calculated at the GGA-PBE level.

## Properties
**DFT total energy**: -8.40 eV per atom
**Crystal system**: cubic
**Space-group type**: No. 225
**ΔE to the lowest computed polymorph**: 134 meV/atom
**DFT formation energy**: -1.416 kcal/mol of atoms
**D(E_F)**: 8.05 states/eV/f.u.
**Mass density**: 15.1 Mg/m³

a = 4.394 Å, b = 4.394 Å, c = 4.394 Å
α = 60.00°, β = 60.00°, γ = 60.00°
Element x y z (fractional)
Np 0.500 0.500 0.500
Ni 0.250 0.250 0.250
Ni 0.750 0.750 0.750
Ir 0.000 0.000 0.000


Below is a relaxed Zn2AsP crystal, with properties calculated at the GGA-PBE level.

## Properties
**DFT total energy**: -3.01 eV per atom
**Crystal system**: monoclinic
**Space-group type**: No. 10
**ΔE to the lowest computed polymorph**: 83 meV/atom
**DFT formation energy**: 3.190 kcal/mol of atoms
**D(E_F)**: 1.44 states/eV/f.u.
**Mass density**: 5.6 Mg/m³

a = 3.614 Å, b = 4.209 Å, c = 4.919 Å
α = 71.14°, β = 90.00°, γ = 90.00°
Element x y z (fractional)
Zn 0.000 0.279 0.762
Zn 0.000 0.721 0.238
As 0.500 0.000 0.500
P 0.500 0.500 0.000


Below is a relaxed LaGe2 crystal, with properties calculated at the GGA-PBE level.

## Properties
**DFT total energy**: -5.39 eV per atom
**Crystal system**: orthorhombic
**Space-group type**: No. 65
**DFT formation energy**: -15.381 kcal/mol of atoms
**D(E_F)**: 1.87 states/eV/f.u.
**Mass density**: 6.4 Mg/m³

a = 4.271 Å, b = 4.604 Å, c = 4.604 Å
α = 126.01°, β = 90.00°, γ = 90.00°
Element x y z (fractional)
La 0.500 0.000 0.000
Ge 0.000 0.340 0.660
Ge 0.000 0.660 0.340


Below is a relaxed CoIrPt4 crystal, with properties calculated at the GGA-PBE level.

## Properties
**DFT total energy**: -6.55 eV per atom
**Crystal system**: orthorhombic
**Space-group type**: No. 51
**ΔE to the lowest computed polymorph**: 0 meV/atom
**DFT formation energy**: 3.159 kcal/mol of atoms
**D(E_F)**: 9.38 states/eV/f.u.
**Mass density**: 18.8 Mg/m³

a = 2.714 Å, b = 7.595 Å, c = 8.849 Å
α = 90.00°, β = 90.00°, γ = 90.00°
Element x y z (fractional)
Co 0.000 0.541 0.250
Co 0.000 0.459 0.750
Ir 0.000 0.198 0.250
Ir 0.000 0.802 0.750
Pt 0.500 0.331 0.013
Pt 0.500 0.331 0.487
Pt 0.500 0.669 0.987
Pt 0.500 0.669 0.513
Pt 0.500 0.855 0.250
Pt 0.500 0.145 0.750
Pt 0.000 0.000 0.000
Pt 0.000 0.000 0.500


Below is a relaxed Nd3PuN3 crystal, with properties calculated at the GGA-PBE level.

## Properties
**DFT total energy**: -8.66 eV per atom
**Crystal system**: hexagonal
**Formation energy (no corrections)**: -96.1 kJ/mol of atoms
**Space-group type**: No. 194
**ΔE to the lowest computed polymorph**: 0 meV/atom
**D(E_F)**: 7.77 states/eV/f.u.
**Mass density**: 7.9 Mg/m³

a = 5.289 Å, b = 8.145 Å, c = 8.145 Å
α = 120.00°, β = 90.00°, γ = 90.00°
Element x y z (fractional)
Nd 0.250 0.663 0.831
Nd 0.250 0.169 0.337
Nd 0.250 0.169 0.832
Nd 0.750 0.337 0.169
Nd 0.750 0.831 0.663
Nd 0.750 0.831 0.168
Pu 0.750 0.333 0.667
Pu 0.250 0.667 0.333
N 0.750 0.658 0.829
N 0.750 0.171 0.342
N 0.750 0.171 0.829
N 0.250 0.342 0.171
N 0.250 0.829 0.658
N 0.250 0.829 0.171


Below is a relaxed AcNdMg6 crystal, with properties calculated at the GGA-PBE level.

## Properties
**DFT total energy**: -2.37 eV per atom
**Crystal system**: orthorhombic
**Space-group type**: No. 38
**DFT formation energy**: -1.446 kcal/mol of atoms
**D(E_F)**: 6.64 states/eV/f.u.
**Mass density**: 3.8 Mg/m³

a = 5.234 Å, b = 6.880 Å, c = 6.880 Å
α = 114.56°, β = 90.00°, γ = 90.00°
Element x y z (fractional)
Ac 0.000 0.110 0.890
Nd 0.500 0.393 0.607
Mg 0.000 0.059 0.369
Mg 0.000 0.631 0.941
Mg 0.000 0.578 0.422
Mg 0.500 0.449 0.134
Mg 0.500 0.866 0.551
Mg 0.500 0.913 0.087


Below is a relaxed AlCu crystal, with properties calculated at the GGA-PBE level.

## Properties
**DFT total energy**: -4.05 eV per atom
**Crystal system**: tetragonal
**Space-group type**: No. 141
**DFT formation energy**: -3.066 kcal/mol of atoms
**D(E_F)**: 0.59 states/eV/f.u.
**Mass density**: 5.5 Mg/m³

a = 4.710 Å, b = 4.710 Å, c = 4.710 Å
α = 133.23°, β = 133.17°, γ = 68.34°
Element x y z (fractional)
Al 0.375 0.625 0.250
Al 0.625 0.375 0.750
Cu 0.875 0.125 0.250
Cu 0.125 0.875 0.750


| no. | M_tot (μB per atom) |
| --- | --- |
| 1 | 0.0001 |
| 2 | 0.6073 |
| 3 | 0.0000 |
| 4 | 0.0000 |
| 5 | 0.5311 |
| 6 | 0.7931 |
| 7 | 0.0000 |
| 8 | 0.0000 |